First-principles (PBE) data for crystalline AcPmTe2 at its relaxed geometry, as listed in the Alexandria database.

Cell: 4.6105 4.6105 10.3578 Å, 77.14 77.14 60.00°
With the nearest neighbours (Å) after each atom.
Atoms (fractional coordinates):
1 Te 0.8982 0.8982 0.3054  1 Pm 3.06, 3 Ac 3.30
2 Te 0.1018 0.1018 0.6946  1 Pm 3.06, 3 Ac 3.30
3 Ac 0.5000 0.5000 0.5000  6 Te 3.30
4 Pm 0.0000 0.0000 0.0000  2 Te 3.06

Crystal system: trigonal
SG: R-3m
Raw formation energy, kJ/mol of formula units: -358

First-principles (PBE) data for crystalline CaReSi2 at its relaxed geometry, as listed in the Alexandria database.

Cell: 4.8034 4.8034 3.0723 Å, 81.49 81.49 104.74°
With the nearest neighbours (Å) after each atom.
Atoms (fractional coordinates):
1 Si 0.5000 0.5000 0.0000  2 Re 2.65, 2 Ca 2.65, 2 Si 2.93
2 Si 0.0000 0.0000 0.0000  2 Ca 2.65, 2 Re 2.65, 2 Si 2.93
3 Ca 0.5000 0.0000 0.5000  4 Si 2.65, 2 Re 2.93
4 Re 0.0000 0.5000 0.5000  4 Si 2.65, 2 Ca 2.93

Crystal system: monoclinic
SG: C2/m
Raw formation energy, kJ/mol of formula units: 137

First-principles (PBE) data for crystalline SiNi2Se at its relaxed geometry, as listed in the Alexandria database.

Cell: 4.8579 4.8579 4.8579 Å, 136.87 136.87 62.64°
With the nearest neighbours (Å) after each atom.
Atoms (fractional coordinates):
1 Si 0.7500 0.2500 0.5000  8 Ni 2.53-2.74, 4 Se 2.74
2 Ni 0.0000 0.0000 0.0000  4 Se 2.53, 4 Si 2.74, 4 Ni 2.74
3 Ni 0.2500 0.7500 0.5000  4 Si 2.53, 4 Ni 2.74, 4 Se 2.74
4 Se 0.5000 0.5000 0.0000  8 Ni 2.53-2.74, 4 Si 2.74

Crystal system: tetragonal
SG: I-4m2
Raw formation energy, kJ/mol of formula units: 27

First-principles (PBE) data for crystalline CeGaMo at its relaxed geometry, as listed in the Alexandria database.

Cell: 2.8147 4.9091 4.9091 Å, 120.00 90.00 90.00°
With the nearest neighbours (Å) after each atom.
Atoms (fractional coordinates):
1 Ga 0.5005 0.3333 0.6667  2 Ga 2.81, 3 Mo 2.83
2 Ce 0.0000 0.0000 0.0000  2 Ce 2.81
3 Mo 0.4995 0.6667 0.3333  2 Mo 2.81, 3 Ga 2.83

DFT formation energy, eV per atom: 0.1081
Crystal system: hexagonal
SG: P-6m2

First-principles (PBE) data for crystalline CuHg2Te at its relaxed geometry, as listed in the Alexandria database.

Cell: 9.4061 9.4061 9.4061 Å, 21.08 21.08 21.08°
With the nearest neighbours (Å) after each atom.
Atoms (fractional coordinates):
1 Te 0.2500 0.2500 0.2500  6 Hg 3.37, 6 Te 3.44
2 Hg 0.4848 0.4848 0.4848  3 Cu 2.73
3 Hg 0.0152 0.0152 0.0152  3 Cu 2.73
4 Cu 0.7500 0.7500 0.7500  6 Hg 2.73

Crystal system: trigonal
SG: R-3m
Raw formation energy, kJ/mol of formula units: 86

First-principles (PBE) data for crystalline CsPaHgCl6 at its relaxed geometry, as listed in the Alexandria database.

Cell: 8.7378 8.7378 12.1244 Å, 90.00 90.00 120.00°
With the nearest neighbours (Å) after each atom.
Atoms (fractional coordinates):
1 Cl 0.6583 0.5693 0.1286  1 Pa 2.56
2 Cl 0.0890 0.6583 0.8714  1 Pa 2.56
3 Cl 0.5693 0.6583 0.6286  1 Pa 2.56
4 Cl 0.4307 0.3417 0.3714  1 Pa 2.56
5 Cl 0.9110 0.3417 0.1286  1 Pa 2.56
6 Cl 0.3417 0.9110 0.6286  1 Pa 2.56
7 Cl 0.9110 0.5693 0.3714  1 Pa 2.56
8 Cl 0.6583 0.0890 0.3714  1 Pa 2.56
9 Cl 0.3417 0.4307 0.8714  1 Pa 2.56
10 Cl 0.4307 0.0890 0.1286  1 Pa 2.56
11 Cl 0.0890 0.4307 0.6286  1 Pa 2.56
12 Cl 0.5693 0.9110 0.8714  1 Pa 2.56
13 Hg 0.0000 0.0000 0.5000  6 Cl 3.78
14 Hg 0.0000 0.0000 0.0000  6 Cl 3.78
15 Cs 0.3333 0.6667 0.2500  6 Cl 3.66
16 Cs 0.6667 0.3333 0.7500  6 Cl 3.66
17 Pa 0.6667 0.3333 0.2500  6 Cl 2.56
18 Pa 0.3333 0.6667 0.7500  6 Cl 2.56

Crystal system: trigonal
SG: P-31c
Raw formation energy, kJ/mol of formula units: -1499

First-principles (PBE) data for crystalline RbIrS2 at its relaxed geometry, as listed in the Alexandria database.

Cell: 4.7623 4.7623 4.7623 Å, 60.00 60.00 60.00°
With the nearest neighbours (Å) after each atom.
Atoms (fractional coordinates):
1 S 0.7500 0.7500 0.7500  4 Rb 2.92, 4 Ir 2.92
2 S 0.2500 0.2500 0.2500  4 Ir 2.92, 4 Rb 2.92
3 Ir 0.5000 0.5000 0.5000  8 S 2.92
4 Rb 0.0000 0.0000 0.0000  8 S 2.92

Crystal system: cubic
SG: Fm-3m
Raw formation energy, kJ/mol of formula units: 238

First-principles (PBE) data for crystalline BeIN2 at its relaxed geometry, as listed in the Alexandria database.

Cell: 5.5310 5.5310 5.5310 Å, 39.24 39.24 39.24°
With the nearest neighbours (Å) after each atom.
Atoms (fractional coordinates):
1 Be 0.0000 0.0000 0.0000  2 N 1.55
2 I 0.5000 0.5000 0.5000  6 N 2.37
3 N 0.8989 0.8989 0.8989  1 Be 1.55
4 N 0.1011 0.1011 0.1011  1 Be 1.55

Crystal system: trigonal
SG: R-3m
Raw formation energy, kJ/mol of formula units: 418

First-principles (PBE) data for crystalline TbTmZnCo at its relaxed geometry, as listed in the Alexandria database.

Cell: 4.8461 4.8461 4.8461 Å, 60.00 60.00 60.00°
With the nearest neighbours (Å) after each atom.
Atoms (fractional coordinates):
1 Tm 0.2500 0.2500 0.2500  4 Co 2.97, 4 Zn 2.97
2 Tb 0.7500 0.7500 0.7500  4 Co 2.97, 4 Zn 2.97
3 Zn 0.0000 0.0000 0.0000  4 Tb 2.97, 4 Tm 2.97
4 Co 0.5000 0.5000 0.5000  4 Tb 2.97, 4 Tm 2.97

DFT formation energy, eV per atom: -0.2429
Crystal system: cubic
SG: F-43m

First-principles (PBE) data for crystalline CrCuNi2 at its relaxed geometry, as listed in the Alexandria database.

Cell: 3.0115 3.0115 5.1785 Å, 90.00 90.00 90.00°
With the nearest neighbours (Å) after each atom.
Atoms (fractional coordinates):
1 Ni 0.0000 0.0000 0.9998  4 Cu 2.47, 4 Ni 2.51, 2 Cr 2.52-2.66
2 Ni 0.5000 0.5000 0.2548  4 Cr 2.45, 4 Ni 2.51, 2 Cu 2.57-2.61
3 Cr 0.0000 0.0000 0.4871  6 Ni 2.45-2.66, 4 Cu 2.55
4 Cu 0.5000 0.5000 0.7583  6 Ni 2.47-2.61, 4 Cr 2.55

DFT formation energy, eV per atom: 0.1709
Crystal system: tetragonal
SG: P4mm

First-principles (PBE) data for crystalline BeCrSiRh at its relaxed geometry, as listed in the Alexandria database.

Cell: 4.0481 4.0481 4.0481 Å, 60.00 60.00 60.00°
With the nearest neighbours (Å) after each atom.
Atoms (fractional coordinates):
1 Si 0.7500 0.7500 0.7500  4 Rh 2.48, 4 Cr 2.48
2 Rh 0.5000 0.5000 0.5000  4 Si 2.48, 4 Be 2.48
3 Be 0.2500 0.2500 0.2500  4 Cr 2.48, 4 Rh 2.48
4 Cr 0.0000 0.0000 0.0000  4 Be 2.48, 4 Si 2.48

Crystal system: cubic
SG: F-43m
Raw formation energy, kJ/mol of formula units: -166

First-principles (PBE) data for crystalline SiPb2SF at its relaxed geometry, as listed in the Alexandria database.

Cell: 5.4471 4.0011 5.4471 Å, 90.00 90.00 90.00°
With the nearest neighbours (Å) after each atom.
Atoms (fractional coordinates):
1 Si 0.0000 0.5000 0.0000  2 F 2.00
2 Pb 0.5000 0.0000 0.0000  2 F 2.72
3 Pb 0.0000 0.0000 0.5000  2 F 2.72
4 F 0.0000 0.0000 0.0000  2 Si 2.00
5 S 0.5000 0.5000 0.5000  8 Pb 3.38

Crystal system: tetragonal
SG: P4/mmm
Raw formation energy, kJ/mol of formula units: -47

First-principles (PBE) data for crystalline ZnCu7Sn2Au2 at its relaxed geometry, as listed in the Alexandria database.

Cell: 3.6613 3.6613 14.4842 Å, 81.96 81.96 90.01°
With the nearest neighbours (Å) after each atom.
Atoms (fractional coordinates):
1 Sn 0.8142 0.8142 0.3585  1 Cu 2.60, 3 Au 2.90-2.91
2 Sn 0.1858 0.1858 0.6415  1 Cu 2.60, 3 Au 2.90-2.91
3 Cu 0.9341 0.4304 0.1286  6 Cu 2.57-2.61, 2 Zn 2.58-2.59, 2 Au 2.65-2.69
4 Cu 0.2644 0.2644 0.4587  1 Sn 2.60, 1 Au 2.74, 3 Cu 2.76-2.84
5 Cu 0.4304 0.9341 0.1286  6 Cu 2.57-2.61, 2 Zn 2.58-2.59, 2 Au 2.65-2.69
6 Cu 0.5696 0.0659 0.8714  6 Cu 2.57-2.61, 2 Zn 2.58-2.59, 2 Au 2.65-2.69
7 Cu 0.5000 0.5000 0.0000  8 Cu 2.57-2.60, 4 Zn 2.59
8 Cu 0.7356 0.7356 0.5413  1 Sn 2.60, 1 Au 2.74, 3 Cu 2.76-2.84
9 Cu 0.0659 0.5696 0.8714  6 Cu 2.57-2.61, 2 Zn 2.58-2.59, 2 Au 2.65-2.69
10 Zn 0.0000 0.0000 0.0000  12 Cu 2.58-2.59
11 Au 0.3650 0.3650 0.2655  5 Cu 2.65-2.74, 4 Sn 2.90-2.91
12 Au 0.6350 0.6350 0.7345  5 Cu 2.65-2.74, 4 Sn 2.90-2.91

DFT formation energy, eV per atom: 0.0222
Crystal system: monoclinic
SG: C2/m

Number 1: magnetic moment 0.00 Bohr magnetons per cell, final energy -4.7137 eV per atom. Number 2: magnetic moment 0.00 Bohr magnetons per cell, final energy -5.9696 eV per atom. Number 3: magnetic moment 0.00 Bohr magnetons per cell, final energy -5.0477 eV per atom. Number 4: magnetic moment 0.00 Bohr magnetons per cell, final energy -6.4892 eV per atom. Number 5: magnetic moment 0.00 Bohr magnetons per cell, final energy -1.7365 eV per atom. Number 6: magnetic moment 0.00 Bohr magnetons per cell, final energy -4.1411 eV per atom. Number 7: magnetic moment 0.00 Bohr magnetons per cell, final energy -3.9040 eV per atom. Number 8: magnetic moment 0.00 Bohr magnetons per cell, final energy -4.3994 eV per atom. Number 9: magnetic moment 0.00 Bohr magnetons per cell, final energy -4.6133 eV per atom. Number 10: magnetic moment 2.62 Bohr magnetons per cell, final energy -6.1497 eV per atom. Number 11: magnetic moment 2.68 Bohr magnetons per cell, final energy -6.9613 eV per atom. Number 12: magnetic moment 0.00 Bohr magnetons per cell, final energy -3.8654 eV per atom. Number 13: magnetic moment 0.00 Bohr magnetons per cell, final energy -3.6868 eV per atom.